Entry from the Alexandria database: an optimized crystal structure of TiBe3H (GGA-PBEsol).

a = 3.5106 Å, b = 3.5106 Å, c = 3.5106 Å
α = 90.00°, β = 90.00°, γ = 90.00°
Last column: nearest neighbours and their distance in Å.
Fractional coordinates of all 5 atoms:
Be1 0.0000 0.0000 0.5000  2 H 1.76
Ti1 0.5000 0.5000 0.5000  12 Be 2.48
Be2 0.5000 0.0000 0.0000  2 H 1.76
H1 0.0000 0.0000 0.0000  6 Be 1.76
Be3 0.0000 0.5000 0.0000  2 H 1.76

Values from the calculation:
For the calculated total energy, the calculation gives -4.591 eV/atom. As for the space-group type: Pm-3m, No. 221. As for the total magnetic moment: 0.000 Bohr magnetons per cell.